First-principles (PBE) data for a relaxed NbHIr2Rh crystal, as listed in the Alexandria database.

- SG: No. 123
- Energy relative to the lowest polymorph listed for this composition: 0.000 eV/atom
- Magnetic moment: 0.000 μB/cell
- DFT total energy: -8.05 eV/atom

POSCAR file:
```
NbHIr2Rh
1.0
-1.003 -3.389 1.829
2.907 -1.906 -1.938
2.519 0.846 2.947
Rh Ir H Nb
1 2 1 1
Cartesian
1.259 0.423 1.473
-0.501 -1.694 0.915
1.453 -0.953 -0.969
0.000 0.000 0.000
2.211 -2.225 1.419
```



First-principles (PBE) data for a relaxed NbHIr2Rh crystal, as listed in the Alexandria database.

- SG: No. 123
- Energy relative to the lowest polymorph listed for this composition: 0.061 eV/atom
- Magnetic moment: 0.000 μB/cell
- DFT total energy: -7.99 eV/atom

POSCAR file:
```
NbHIr2Rh
1.0
-2.000 0.494 3.350
-2.727 -2.542 -1.253
2.078 -3.063 1.693
Nb Ir Rh H
1 2 1 1
Cartesian
1.039 -1.532 0.846
-1.000 0.247 1.675
-1.363 -1.271 -0.627
-1.324 -2.556 1.895
0.000 0.000 0.000
```